Entry 1:
{"formula": "Rb2AgAu", "functional": "GGA-PBE", "state": "relaxed", "e_form_ev_per_fu": 0.1, "sg": "I-42d (122)", "lattice_angstrom": [[-4.6020, 4.6020, 4.6536], [4.6020, -4.6020, 4.6536], [4.6020, 4.6020, -4.6536]], "species": ["Rb", "Rb", "Rb", "Rb", "Ag", "Ag", "Au", "Au"], "fractional_positions": [[0.1127, 0.6250, 0.9877], [0.3750, 0.3627, 0.4877], [0.6373, 0.1250, 0.0123], [0.8750, 0.8873, 0.5123], [0.2500, 0.7500, 0.5000], [0.5000, 0.5000, 0.0000], [0.0000, 0.0000, 0.0000], [0.7500, 0.2500, 0.5000]]}

Entry 2:
{"formula": "Rb2AgAu", "functional": "GGA-PBE", "state": "relaxed", "e_form_ev_per_fu": -0.5, "sg": "Amm2 (38)", "lattice_angstrom": [[4.9659, 0.0000, 0.0000], [0.0000, 2.5101, 6.2717], [0.0000, -2.5101, 6.2717]], "species": ["Rb", "Rb", "Ag", "Au"], "fractional_positions": [[0.0000, 0.0000, 0.0000], [0.5000, 0.2867, 0.2867], [0.0000, 0.7003, 0.7003], [0.5000, 0.5838, 0.5838]]}

Entry 3:
{"formula": "Rb5AgAu4", "functional": "GGA-PBE", "state": "relaxed", "e_form_ev_per_fu": -2.0, "sg": "P4/mmm (123)", "lattice_angstrom": [[4.1915, 0.0000, 0.0000], [0.0000, 4.1915, 0.0000], [0.0000, 0.0000, 21.0209]], "species": ["Rb", "Rb", "Rb", "Rb", "Rb", "Ag", "Au", "Au", "Au", "Au"], "fractional_positions": [[0.0000, 0.0000, 0.0000], [0.0000, 0.0000, 0.1972], [0.0000, 0.0000, 0.3939], [0.0000, 0.0000, 0.6061], [0.0000, 0.0000, 0.8028], [0.5000, 0.5000, 0.5000], [0.5000, 0.5000, 0.0989], [0.5000, 0.5000, 0.2973], [0.5000, 0.5000, 0.7027], [0.5000, 0.5000, 0.9011]]}

Entry 4:
{"formula": "Rb6AgAu3", "functional": "GGA-PBE", "state": "relaxed", "e_form_ev_per_fu": -1.1, "sg": "P2_1/c (14)", "lattice_angstrom": [[9.5690, 0.0000, 0.0000], [0.0000, 7.8639, 0.0000], [-7.3380, 0.0000, 12.2073]], "species": ["Rb", "Rb", "Rb", "Rb", "Rb", "Rb", "Rb", "Rb", "Rb", "Rb", "Rb", "Rb", "Ag", "Ag", "Au", "Au", "Au", "Au", "Au", "Au"], "fractional_positions": [[0.0729, 0.0519, 0.2616], [0.0729, 0.4481, 0.7616], [0.2529, 0.1119, 0.6109], [0.2529, 0.3881, 0.1109], [0.3815, 0.6193, 0.5734], [0.3815, 0.8807, 0.0734], [0.6185, 0.1193, 0.9266], [0.6185, 0.3807, 0.4266], [0.7471, 0.6119, 0.8891], [0.7471, 0.8881, 0.3891], [0.9271, 0.5519, 0.2384], [0.9271, 0.9481, 0.7384], [0.5000, 0.0000, 0.5000], [0.5000, 0.5000, 0.0000], [0.0000, 0.0000, 0.0000], [0.0000, 0.5000, 0.5000], [0.3617, 0.7394, 0.3234], [0.3617, 0.7606, 0.8234], [0.6383, 0.2394, 0.1766], [0.6383, 0.2606, 0.6766]]}

Entry 5:
{"formula": "Rb2Ag2Au", "functional": "GGA-PBE", "state": "relaxed", "e_form_ev_per_fu": 1.3, "sg": "P4/mbm (127)", "lattice_angstrom": [[10.3455, 0.0000, 0.0000], [0.0000, 10.3455, 0.0000], [0.0000, 0.0000, 3.1584]], "species": ["Rb", "Rb", "Rb", "Rb", "Ag", "Ag", "Ag", "Ag", "Au", "Au"], "fractional_positions": [[0.1961, 0.3039, 0.0000], [0.3039, 0.8039, 0.0000], [0.6961, 0.1961, 0.0000], [0.8039, 0.6961, 0.0000], [0.0953, 0.5953, 0.5000], [0.4047, 0.0953, 0.5000], [0.5953, 0.9047, 0.5000], [0.9047, 0.4047, 0.5000], [0.0000, 0.0000, 0.0000], [0.5000, 0.5000, 0.0000]]}

Entry 6:
{"formula": "Rb2Ag2Au", "functional": "GGA-PBE", "state": "relaxed", "e_form_ev_per_fu": -0.5, "sg": "Immm (71)", "lattice_angstrom": [[-2.5263, 2.8514, 5.5306], [2.5263, -2.8514, 5.5306], [2.5263, 2.8514, -5.5306]], "species": ["Rb", "Rb", "Ag", "Ag", "Au"], "fractional_positions": [[0.1945, 0.1945, 0.0000], [0.8055, 0.8055, 0.0000], [0.2489, 0.5000, 0.7489], [0.7511, 0.5000, 0.2511], [0.5000, 0.0000, 0.5000]]}

Entry 7:
{"formula": "Rb4AgAu", "functional": "GGA-PBE", "state": "relaxed", "e_form_ev_per_fu": -0.3, "sg": "P4/mcc (124)", "lattice_angstrom": [[8.6557, 0.0000, 0.0000], [0.0000, 8.6557, 0.0000], [0.0000, 0.0000, 8.0593]], "species": ["Rb", "Rb", "Rb", "Rb", "Rb", "Rb", "Rb", "Rb", "Ag", "Ag", "Au", "Au"], "fractional_positions": [[0.1859, 0.3024, 0.0000], [0.1859, 0.6976, 0.5000], [0.3024, 0.1859, 0.5000], [0.3024, 0.8141, 0.0000], [0.6976, 0.1859, 0.0000], [0.6976, 0.8141, 0.5000], [0.8141, 0.3024, 0.5000], [0.8141, 0.6976, 0.0000], [0.5000, 0.5000, 0.2500], [0.5000, 0.5000, 0.7500], [0.0000, 0.0000, 0.2500], [0.0000, 0.0000, 0.7500]]}

Entry 8:
{"formula": "Rb2Ag2Au", "functional": "GGA-PBE", "state": "relaxed", "e_form_ev_per_fu": 0.2, "sg": "P4/mbm (127)", "lattice_angstrom": [[7.4735, 0.0000, 0.0000], [0.0000, 7.4735, 0.0000], [0.0000, 0.0000, 5.5240]], "species": ["Rb", "Rb", "Rb", "Rb", "Ag", "Ag", "Ag", "Ag", "Au", "Au"], "fractional_positions": [[0.1833, 0.3167, 0.0000], [0.3167, 0.8167, 0.0000], [0.6833, 0.1833, 0.0000], [0.8167, 0.6833, 0.0000], [0.1331, 0.6331, 0.5000], [0.3669, 0.1331, 0.5000], [0.6331, 0.8669, 0.5000], [0.8669, 0.3669, 0.5000], [0.0000, 0.0000, 0.5000], [0.5000, 0.5000, 0.5000]]}

Entry 9:
{"formula": "Rb3Ag4Au2", "functional": "GGA-PBE", "state": "relaxed", "e_form_ev_per_fu": -0.7, "sg": "C2/m (12)", "lattice_angstrom": [[6.2171, -2.4273, 0.0000], [6.2171, 2.4273, 0.0000], [-3.0436, 0.0000, 9.2754]], "species": ["Rb", "Rb", "Rb", "Ag", "Ag", "Ag", "Ag", "Au", "Au"], "fractional_positions": [[0.0000, 0.0000, 0.0000], [0.3760, 0.3760, 0.6284], [0.6240, 0.6240, 0.3716], [0.0889, 0.0889, 0.6316], [0.2461, 0.2461, 0.9196], [0.7539, 0.7539, 0.0804], [0.9111, 0.9111, 0.3684], [0.3196, 0.3196, 0.2288], [0.6804, 0.6804, 0.7712]]}

Entry 10:
{"formula": "RbAg3Au", "functional": "GGA-PBE", "state": "relaxed", "e_form_ev_per_fu": 0.2, "sg": "Amm2 (38)", "lattice_angstrom": [[4.6201, 0.0000, 0.0000], [0.0000, 2.8758, 4.9682], [0.0000, -2.8758, 4.9682]], "species": ["Rb", "Ag", "Ag", "Ag", "Au"], "fractional_positions": [[0.0000, 0.0000, 0.0000], [0.0000, 0.6643, 0.6643], [0.5000, 0.0075, 0.5004], [0.5000, 0.5004, 0.0075], [0.5000, 0.4974, 0.4974]]}

Entry 11:
{"formula": "Rb11AgAu5", "functional": "GGA-PBE", "state": "relaxed", "e_form_ev_per_fu": -2.1, "sg": "C2/m (12)", "lattice_angstrom": [[6.6086, -7.8782, 0.0000], [6.6086, 7.8782, 0.0000], [-2.9629, 0.0000, 8.2686]], "species": ["Rb", "Rb", "Rb", "Rb", "Rb", "Rb", "Rb", "Rb", "Rb", "Rb", "Rb", "Ag", "Au", "Au", "Au", "Au", "Au"], "fractional_positions": [[0.0000, 0.0000, 0.0000], [0.1543, 0.7070, 0.2169], [0.1701, 0.4147, 0.5799], [0.2930, 0.8457, 0.7831], [0.3391, 0.3391, 0.1064], [0.4147, 0.1701, 0.5799], [0.5853, 0.8299, 0.4201], [0.6609, 0.6609, 0.8936], [0.7070, 0.1543, 0.2169], [0.8299, 0.5853, 0.4201], [0.8457, 0.2930, 0.7831], [0.0000, 0.0000, 0.5000], [0.0071, 0.3625, 0.1833], [0.3625, 0.0071, 0.1833], [0.5000, 0.5000, 0.5000], [0.6375, 0.9929, 0.8167], [0.9929, 0.6375, 0.8167]]}

Entry 12:
{"formula": "Rb3AgAu2", "functional": "GGA-PBE", "state": "relaxed", "e_form_ev_per_fu": -1.1, "sg": "Pnma (62)", "lattice_angstrom": [[13.3276, 0.0000, 0.0000], [0.0000, 5.0215, 0.0000], [0.0000, 0.0000, 13.9864]], "species": ["Rb", "Rb", "Rb", "Rb", "Rb", "Rb", "Rb", "Rb", "Rb", "Rb", "Rb", "Rb", "Ag", "Ag", "Ag", "Ag", "Au", "Au", "Au", "Au", "Au", "Au", "Au", "Au"], "fractional_positions": [[0.0562, 0.2500, 0.1180], [0.1211, 0.7500, 0.5516], [0.1994, 0.2500, 0.7939], [0.3006, 0.7500, 0.2939], [0.3789, 0.2500, 0.0516], [0.4438, 0.7500, 0.6180], [0.5562, 0.2500, 0.3820], [0.6211, 0.7500, 0.9484], [0.6994, 0.2500, 0.7061], [0.8006, 0.7500, 0.2061], [0.8789, 0.2500, 0.4484], [0.9438, 0.7500, 0.8820], [0.1245, 0.2500, 0.3584], [0.3755, 0.7500, 0.8584], [0.6245, 0.2500, 0.1416], [0.8755, 0.7500, 0.6416], [0.0395, 0.7500, 0.3172], [0.2017, 0.7500, 0.9792], [0.2983, 0.2500, 0.4792], [0.4605, 0.2500, 0.8172], [0.5395, 0.7500, 0.1828], [0.7017, 0.7500, 0.5208], [0.7983, 0.2500, 0.0208], [0.9605, 0.2500, 0.6828]]}

Number 1: E -15.98 eV per cell, DOS(E_F) 0.00 states/eV/cell. Number 2: E -8.58 eV per cell, DOS(E_F) 0.25 states/eV/cell. Number 3: E -22.79 eV per cell, DOS(E_F) 0.74 states/eV/cell. Number 4: E -39.11 eV per cell, DOS(E_F) 8.05 states/eV/cell. Number 5: E -19.14 eV per cell, DOS(E_F) 2.74 states/eV/cell. Number 6: E -11.39 eV per cell, DOS(E_F) 1.17 states/eV/cell. Number 7: E -20.67 eV per cell, DOS(E_F) 6.67 states/eV/cell. Number 8: E -21.53 eV per cell, DOS(E_F) 4.19 states/eV/cell. Number 9: E -21.53 eV per cell, DOS(E_F) 3.37 states/eV/cell. Number 10: E -12.56 eV per cell, DOS(E_F) 1.45 states/eV/cell. Number 11: E -31.94 eV per cell, DOS(E_F) 10.77 states/eV/cell. Number 12: E -53.57 eV per cell, DOS(E_F) 3.38 states/eV/cell.